Rb6ZnGe2: optimized geometry, PBE-GGA.

abc: 6.5378 6.5378 10.9106
angles: 101.93 101.93 57.82
With the nearest neighbours (Å) after each atom.
Fractional coordinates of all 9 atoms:
Rb  0.0484  0.0484  0.2239  3 Ge 3.76-3.80, 5 Rb 3.81-4.15
Rb  0.1999  0.1999  0.5748  3 Zn 3.71-3.87, 2 Ge 3.81, 5 Rb 3.81-3.98
Rb  0.3196  0.3196  0.9318  1 Ge 3.64, 6 Rb 3.81-4.05
Rb  0.6804  0.6804  0.0682  1 Ge 3.64, 6 Rb 3.81-4.05
Rb  0.8001  0.8001  0.4252  3 Zn 3.71-3.87, 2 Ge 3.81, 5 Rb 3.81-3.98
Rb  0.9516  0.9516  0.7761  3 Ge 3.76-3.80, 5 Rb 3.81-4.15
Zn  0.5000  0.5000  0.5000  2 Ge 2.49
Ge  0.3887  0.3887  0.2746  1 Zn 2.49
Ge  0.6113  0.6113  0.7254  1 Zn 2.49

electronic total energy: -1.78 eV/atom